This record from the Alexandria database describes a crystal of CuRh3 relaxed with PBEsol. The functional is meta-GGA SCAN.

The structure in CIF format:
```
data_CuRh3
_chemical_formula_sum 'Cu2 Rh6'
_symmetry_space_group_name_H-M 'I m m 2'
_symmetry_Int_Tables_number 44
_cell_length_a 2.666
_cell_length_b 8.571
_cell_length_c 4.586
_cell_angle_alpha 90.00
_cell_angle_beta 90.00
_cell_angle_gamma 90.00
loop_
_symmetry_equiv_pos_as_xyz
'x,y,z'
'-x,-y,z'
'-x,y,z'
'x,-y,z'
'x+1/2,y+1/2,z+1/2'
'-x+1/2,-y+1/2,z+1/2'
'-x+1/2,y+1/2,z+1/2'
'x+1/2,-y+1/2,z+1/2'
loop_
_atom_site_label
_atom_site_type_symbol
_atom_site_fract_x
_atom_site_fract_y
_atom_site_fract_z
Cu1 Cu 0.000 0.000 0.000
Rh1 Rh 0.000 0.249 0.332
Rh2 Rh 0.000 0.500 0.999
```

Energy relative to the elements (kJ/mol of formula units): 25
Density of states at the Fermi level (states/eV per cell): 12.7